1 | Crystalline Be2BiC2 at its relaxed geometry, computed with PBE.

Cell: 6.7639 6.7639 3.0363 Å, 90.00 90.00 90.00°
Closest atoms and distances in Å follow each position.
Fractional coordinates of all 10 atoms:
Be: 0.1148 0.3852 0.0000  4 C 1.99, 1 Be 2.20
Be: 0.3852 0.8852 0.0000  4 C 1.99, 1 Be 2.20
Be: 0.6148 0.1148 0.0000  4 C 1.99, 1 Be 2.20
Be: 0.8852 0.6148 0.0000  4 C 1.99, 1 Be 2.20
Bi: 0.0000 0.0000 0.0000  4 Be 2.72, 2 Bi 3.04
Bi: 0.5000 0.5000 0.0000  4 Be 2.72, 2 Bi 3.04
C: 0.0694 0.5694 0.5000  1 C 1.33
C: 0.4306 0.0694 0.5000  1 C 1.33
C: 0.5694 0.9306 0.5000  1 C 1.33
C: 0.9306 0.4306 0.5000  1 C 1.33

---

2 | Crystalline Be2BiC2 at its relaxed geometry, computed with PBE.

Cell: 5.8536 5.8536 5.8536 Å, 145.46 145.46 49.66°
Closest atoms and distances in Å follow each position.
Fractional coordinates of all 5 atoms:
Be: 0.1957 0.1957 0.0000  4 C 1.83
Be: 0.8043 0.8043 0.0000  4 C 1.83
Bi: 0.5000 0.5000 0.0000  8 C 3.17, 10 Be 3.22-3.23, 4 Bi 3.48
C: 0.2500 0.7500 0.5000  4 Be 1.83
C: 0.7500 0.2500 0.5000  4 Be 1.83

---

It turns out 1 is the most stable, with the second structure 0.218 eV/atom higher.

---

1 | Crystalline Ca3BeBi at its relaxed geometry, computed with PBE.

Cell: 5.4144 5.4144 5.4144 Å, 90.00 90.00 90.00°
Closest atoms and distances in Å follow each position.
Fractional coordinates of all 5 atoms:
Ca: 0.0000 0.0000 0.5000  2 Be 2.71
Ca: 0.0000 0.5000 0.0000  2 Be 2.71
Ca: 0.5000 0.0000 0.0000  2 Be 2.71
Be: 0.0000 0.0000 0.0000  6 Ca 2.71
Bi: 0.5000 0.5000 0.5000  12 Ca 3.83

---

2 | Crystalline Ca3BeBi at its relaxed geometry, computed with PBE.

Cell: 5.9636 5.9636 5.9636 Å, 90.00 90.00 90.00°
Closest atoms and distances in Å follow each position.
Fractional coordinates of all 5 atoms:
Ca: 0.0000 0.0000 0.5000  2 Bi 2.98
Ca: 0.0000 0.5000 0.0000  2 Bi 2.98
Ca: 0.5000 0.0000 0.0000  2 Bi 2.98
Be: 0.5000 0.5000 0.5000  12 Ca 4.22
Bi: 0.0000 0.0000 0.0000  6 Ca 2.98

---

It turns out 1 is the most stable, with the second structure 0.375 eV/atom higher.

---

1 | Crystalline CaBe3Bi at its relaxed geometry, computed with PBE.

Cell: 4.9576 4.9576 4.9576 Å, 90.00 90.00 90.00°
Closest atoms and distances in Å follow each position.
Fractional coordinates of all 5 atoms:
Ca: 0.0000 0.0000 0.0000  12 Be 3.51
Be: 0.0000 0.5000 0.5000  2 Bi 2.48
Be: 0.5000 0.0000 0.5000  2 Bi 2.48
Be: 0.5000 0.5000 0.0000  2 Bi 2.48
Bi: 0.5000 0.5000 0.5000  6 Be 2.48

---

2 | Crystalline CaBe3Bi at its relaxed geometry, computed with PBE.

Cell: 4.9962 4.9962 4.9962 Å, 90.00 90.00 90.00°
Closest atoms and distances in Å follow each position.
Fractional coordinates of all 5 atoms:
Ca: 0.0000 0.0000 0.0000  6 Be 2.50
Be: 0.0000 0.0000 0.5000  2 Ca 2.50
Be: 0.0000 0.5000 0.0000  2 Ca 2.50
Be: 0.5000 0.0000 0.0000  2 Ca 2.50
Bi: 0.5000 0.5000 0.5000  12 Be 3.53

---

It turns out 1 is the most stable, with the second structure 0.667 eV/atom higher.

---

1 | Crystalline CaBeBi3 at its relaxed geometry, computed with PBE.

Cell: 5.2565 5.2565 5.2565 Å, 90.00 90.00 90.00°
Closest atoms and distances in Å follow each position.
Fractional coordinates of all 5 atoms:
Ca: 0.0000 0.0000 0.0000  12 Bi 3.72
Be: 0.5000 0.5000 0.5000  6 Bi 2.63
Bi: 0.0000 0.5000 0.5000  2 Be 2.63
Bi: 0.5000 0.0000 0.5000  2 Be 2.63
Bi: 0.5000 0.5000 0.0000  2 Be 2.63

---

2 | Crystalline CaBeBi3 at its relaxed geometry, computed with PBE.

Cell: 5.8096 5.8096 5.8096 Å, 90.00 90.00 90.00°
Closest atoms and distances in Å follow each position.
Fractional coordinates of all 5 atoms:
Ca: 0.0000 0.0000 0.0000  6 Bi 2.90
Be: 0.5000 0.5000 0.5000  12 Bi 4.11
Bi: 0.0000 0.0000 0.5000  2 Ca 2.90
Bi: 0.0000 0.5000 0.0000  2 Ca 2.90
Bi: 0.5000 0.0000 0.0000  2 Ca 2.90

---

It turns out 1 is the most stable, with the second structure 0.958 eV/atom higher.

---

1 | Crystalline Be3CdBi at its relaxed geometry, computed with PBE.

Cell: 4.5442 4.5442 4.5442 Å, 90.00 90.00 90.00°
Closest atoms and distances in Å follow each position.
Fractional coordinates of all 5 atoms:
Be: 0.0000 0.0000 0.5000  2 Cd 2.27
Be: 0.0000 0.5000 0.0000  2 Cd 2.27
Be: 0.5000 0.0000 0.0000  2 Cd 2.27
Cd: 0.0000 0.0000 0.0000  6 Be 2.27
Bi: 0.5000 0.5000 0.5000  12 Be 3.21

---

2 | Crystalline Be3CdBi at its relaxed geometry, computed with PBE.

Cell: 4.9143 4.9143 4.9143 Å, 90.00 90.00 90.00°
Closest atoms and distances in Å follow each position.
Fractional coordinates of all 5 atoms:
Be: 0.0000 0.0000 0.5000  2 Bi 2.46
Be: 0.0000 0.5000 0.0000  2 Bi 2.46
Be: 0.5000 0.0000 0.0000  2 Bi 2.46
Cd: 0.5000 0.5000 0.5000  12 Be 3.47
Bi: 0.0000 0.0000 0.0000  6 Be 2.46

---

It turns out 1 is the most stable, with the second structure 0.331 eV/atom higher.

---

1 | Crystalline BeCd2Bi at its relaxed geometry, computed with PBE.

Cell: 9.5092 9.5092 9.5092 Å, 151.54 151.54 40.68°
Closest atoms and distances in Å follow each position.
Fractional coordinates of all 8 atoms:
Be: 0.0000 0.0000 0.0000  4 Cd 2.63
Be: 0.7500 0.2500 0.5000  4 Cd 2.63
Cd: 0.0418 0.6250 0.9168  2 Be 2.63, 2 Cd 2.81
Cd: 0.3750 0.2918 0.4168  2 Be 2.63, 2 Cd 2.81
Cd: 0.7082 0.1250 0.0832  2 Be 2.63, 2 Cd 2.81
Cd: 0.8750 0.9582 0.5832  2 Be 2.63, 2 Cd 2.81
Bi: 0.2500 0.7500 0.5000  4 Cd 2.96, 4 Be 3.31
Bi: 0.5000 0.5000 0.0000  4 Cd 2.96, 4 Be 3.31

---

2 | Crystalline BeCd2Bi at its relaxed geometry, computed with PBE.

Cell: 5.0852 5.0852 5.0852 Å, 60.00 60.00 60.00°
Closest atoms and distances in Å follow each position.
Fractional coordinates of all 4 atoms:
Be: 0.0000 0.0000 0.0000  8 Cd 3.11
Cd: 0.2500 0.2500 0.2500  4 Bi 3.11, 4 Be 3.11
Cd: 0.7500 0.7500 0.7500  4 Bi 3.11, 4 Be 3.11
Bi: 0.5000 0.5000 0.5000  8 Cd 3.11

---

It turns out 1 is the most stable, with the second structure 0.158 eV/atom higher.

---

1 | Crystalline BeCdBi2 at its relaxed geometry, computed with PBE.

Cell: 7.4541 7.4541 7.4541 Å, 128.89 128.89 75.19°
Closest atoms and distances in Å follow each position.
Fractional coordinates of all 8 atoms:
Be: 0.0000 0.0000 0.0000  4 Bi 2.50
Be: 0.7500 0.2500 0.5000  4 Bi 2.50
Cd: 0.2500 0.7500 0.5000  4 Bi 2.97
Cd: 0.5000 0.5000 0.0000  4 Bi 2.97
Bi: 0.0629 0.6250 0.9379  2 Be 2.50
Bi: 0.3750 0.3129 0.4379  2 Be 2.50
Bi: 0.6871 0.1250 0.0621  2 Be 2.50
Bi: 0.8750 0.9371 0.5621  2 Be 2.50

---

2 | Crystalline BeCdBi2 at its relaxed geometry, computed with PBE.

Cell: 5.1876 5.1876 5.1876 Å, 60.00 60.00 60.00°
Closest atoms and distances in Å follow each position.
Fractional coordinates of all 4 atoms:
Be: 0.0000 0.0000 0.0000  8 Bi 3.18
Cd: 0.5000 0.5000 0.5000  8 Bi 3.18
Bi: 0.2500 0.2500 0.2500  4 Cd 3.18, 4 Be 3.18
Bi: 0.7500 0.7500 0.7500  4 Be 3.18, 4 Cd 3.18

---

It turns out 1 is the most stable, with the second structure 0.197 eV/atom higher.

---

1 | Crystalline Be3BiCl at its relaxed geometry, computed with PBE.

Cell: 5.0607 5.0607 5.0607 Å, 90.00 90.00 90.00°
Closest atoms and distances in Å follow each position.
Fractional coordinates of all 5 atoms:
Be: 0.0000 0.0000 0.5000  2 Bi 2.53
Be: 0.0000 0.5000 0.0000  2 Bi 2.53
Be: 0.5000 0.0000 0.0000  2 Bi 2.53
Bi: 0.0000 0.0000 0.0000  6 Be 2.53
Cl: 0.5000 0.5000 0.5000  12 Be 3.58

---

2 | Crystalline Be3BiCl at its relaxed geometry, computed with PBE.

Cell: 4.4157 4.4157 4.4157 Å, 90.00 90.00 90.00°
Closest atoms and distances in Å follow each position.
Fractional coordinates of all 5 atoms:
Be: 0.0000 0.0000 0.5000  2 Cl 2.21
Be: 0.0000 0.5000 0.0000  2 Cl 2.21
Be: 0.5000 0.0000 0.0000  2 Cl 2.21
Bi: 0.5000 0.5000 0.5000  12 Be 3.12
Cl: 0.0000 0.0000 0.0000  6 Be 2.21

---

It turns out 2 is the most stable, with the second structure 0.153 eV/atom higher.